## one
The following is a PBE-GGA calculation of a relaxed K2Cd crystal, from Alexandria via LeMat-Bulk.

The structure in extended XYZ format:
```
6
Lattice="-4.6213 4.6213 3.3250 4.6213 -4.6213 3.3250 4.6213 4.6213 -3.3250" Properties=species:S:1:pos:R:3 pbc="T T T"
K 6.1670 1.5458 0.0000
K 1.5458 3.0755 0.0000
K 3.0755 1.5458 3.3250
K -1.5458 3.0755 3.3250
Cd 0.0000 0.0000 1.6625
Cd 0.0000 0.0000 4.9875
```

Output
D(E_F): 4.1 states/eV/cell
Volume: 284.0 Å³/cell


## two
The following is a PBE-GGA calculation of a relaxed K2Cd crystal, from Alexandria via LeMat-Bulk.

The structure in extended XYZ format:
```
3
Lattice="0.0000 4.3076 4.3076 4.3076 0.0000 4.3076 4.3076 4.3076 0.0000" Properties=species:S:1:pos:R:3 pbc="T T T"
K 2.1538 2.1538 2.1538
K 6.4613 6.4613 6.4613
Cd 0.0000 0.0000 0.0000
```

Output
D(E_F): 1.4 states/eV/cell
Volume: 159.9 Å³/cell


The structure with the least stability is two.


## one
The following is a PBE-GGA calculation of a relaxed K2Cd3 crystal, from Alexandria via LeMat-Bulk.

The structure in extended XYZ format:
```
10
Lattice="3.0855 -6.2686 0.0000 3.0855 6.2686 0.0000 0.0000 0.0000 9.3148" Properties=species:S:1:pos:R:3 pbc="T T T"
K 3.0855 4.2089 8.3819
K 3.0855 2.0597 3.7245
K 3.0855 -2.0597 5.5903
K 3.0855 -4.2089 0.9329
Cd 0.0000 0.0000 4.6574
Cd 1.5428 1.0757 6.9861
Cd 1.5428 -1.0757 2.3287
Cd 3.0855 0.0000 0.0000
Cd 4.6283 1.0757 6.9861
Cd 4.6283 -1.0757 2.3287
```

Output
D(E_F): 4.0 states/eV/cell
Volume: 360.3 Å³/cell


## two
The following is a PBE-GGA calculation of a relaxed K2Cd3 crystal, from Alexandria via LeMat-Bulk.

The structure in extended XYZ format:
```
5
Lattice="-2.5374 3.0744 5.7205 2.5374 -3.0744 5.7205 2.5374 3.0744 -5.7205" Properties=species:S:1:pos:R:3 pbc="T T T"
K 0.0000 0.0000 2.2512
K 0.0000 0.0000 9.1898
Cd 2.5374 1.5193 0.0000
Cd 0.0000 3.0744 0.0000
Cd 0.0000 1.5550 5.7205
```

Output
D(E_F): 1.9 states/eV/cell
Volume: 178.5 Å³/cell


The structure with the least stability is one.